(1)
## La6NdEr5 (PBE-GGA)

Data for an optimized crystal structure of La6NdEr5.

E_form ... 22 meV/atom
DOS(E_F) ... 1.444 states/eV per atom
Volume ... 409.0 Å³/cell
Size of the total moment ... 0.0 μB per formula unit

POSCAR file:
```
La6NdEr5
1.0
-2.616 4.997 7.822
2.616 -4.997 7.822
2.616 4.997 -7.822
La Nd Er
6 1 5
direct
0.082 0.333 0.748
0.247 0.000 0.247
0.415 0.667 0.748
0.585 0.333 0.252
0.753 0.000 0.753
0.918 0.667 0.252
0.500 0.500 0.000
0.000 0.500 0.500
0.167 0.167 0.000
0.333 0.833 0.500
0.667 0.167 0.500
0.833 0.833 0.000
```


(2)
## La2NdEr12 (PBE-GGA)

Data for an optimized crystal structure of La2NdEr12.

E_form ... 317 meV/atom
DOS(E_F) ... 1.752 states/eV per atom
Volume ... 1029.6 Å³/cell
Size of the total moment ... 0.0 μB per formula unit

POSCAR file:
```
La2NdEr12
1.0
6.417 0.000 0.000
0.000 6.417 0.000
0.000 0.000 25.003
La Nd Er
4 2 24
direct
0.250 0.750 0.227
0.250 0.750 0.773
0.750 0.250 0.227
0.750 0.250 0.773
0.250 0.750 0.500
0.750 0.250 0.500
0.065 0.565 0.383
0.065 0.935 0.617
0.081 0.581 0.060
0.081 0.919 0.940
0.250 0.250 0.158
0.250 0.250 0.285
0.250 0.250 0.715
0.250 0.250 0.842
0.419 0.581 0.940
0.419 0.919 0.060
0.435 0.565 0.617
0.435 0.935 0.383
0.565 0.065 0.617
0.565 0.435 0.383
0.581 0.081 0.940
0.581 0.419 0.060
0.750 0.750 0.158
0.750 0.750 0.285
0.750 0.750 0.715
0.750 0.750 0.842
0.919 0.081 0.060
0.919 0.419 0.940
0.935 0.065 0.383
0.935 0.435 0.617
```


(3)
## La8Nd2Er (PBE-GGA)

Data for an optimized crystal structure of La8Nd2Er.

E_form ... 14 meV/atom
DOS(E_F) ... 1.777 states/eV per atom
Volume ... 394.7 Å³/cell
Size of the total moment ... 0.0 μB per formula unit

POSCAR file:
```
La8Nd2Er
1.0
9.420 -2.624 0.000
9.420 2.624 0.000
-2.164 0.000 7.983
La Nd Er
8 2 1
direct
0.046 0.046 0.228
0.136 0.136 0.681
0.319 0.319 0.588
0.410 0.410 0.048
0.590 0.590 0.952
0.681 0.681 0.412
0.864 0.864 0.319
0.954 0.954 0.772
0.226 0.226 0.136
0.774 0.774 0.864
0.500 0.500 0.500
```


(4)
## La4Nd2Er7 (PBE-GGA)

Data for an optimized crystal structure of La4Nd2Er7.

E_form ... 149 meV/atom
DOS(E_F) ... 1.521 states/eV per atom
Volume ... 441.8 Å³/cell
Size of the total moment ... 0.0 μB per formula unit

POSCAR file:
```
La4Nd2Er7
1.0
6.138 0.000 0.000
-3.069 5.316 0.000
0.000 0.000 13.541
La Nd Er
4 2 7
direct
0.000 0.000 0.110
0.000 0.000 0.890
0.333 0.667 0.000
0.667 0.333 0.000
0.333 0.667 0.500
0.667 0.333 0.500
0.000 0.000 0.500
0.000 0.351 0.289
0.000 0.649 0.711
0.351 0.000 0.289
0.351 0.351 0.711
0.649 0.000 0.711
0.649 0.649 0.289
```


(5)
## LaNd12Er2 (PBE-GGA)

Data for an optimized crystal structure of LaNd12Er2.

E_form ... 299 meV/atom
DOS(E_F) ... 1.195 states/eV per atom
Volume ... 1110.0 Å³/cell
Size of the total moment ... 0.0 μB per formula unit

POSCAR file:
```
LaNd12Er2
1.0
6.556 0.000 0.000
0.000 6.556 0.000
0.000 0.000 25.829
La Nd Er
2 24 4
direct
0.250 0.750 0.000
0.750 0.250 0.000
0.068 0.568 0.117
0.068 0.932 0.883
0.082 0.582 0.438
0.082 0.918 0.562
0.250 0.250 0.218
0.250 0.250 0.338
0.250 0.250 0.662
0.250 0.250 0.782
0.418 0.582 0.562
0.418 0.918 0.438
0.432 0.568 0.883
0.432 0.932 0.117
0.568 0.068 0.883
0.568 0.432 0.117
0.582 0.082 0.562
0.582 0.418 0.438
0.750 0.750 0.218
0.750 0.750 0.338
0.750 0.750 0.662
0.750 0.750 0.782
0.918 0.082 0.438
0.918 0.418 0.562
0.932 0.068 0.117
0.932 0.432 0.883
0.250 0.750 0.275
0.250 0.750 0.725
0.750 0.250 0.275
0.750 0.250 0.725
```


(6)
## La5NdEr6 (PBE-GGA)

Data for an optimized crystal structure of La5NdEr6.

E_form ... 24 meV/atom
DOS(E_F) ... 1.385 states/eV per atom
Volume ... 402.5 Å³/cell
Size of the total moment ... 0.0 μB per formula unit

POSCAR file:
```
La5NdEr6
1.0
8.227 -4.941 0.000
8.227 4.941 0.000
-1.649 0.000 4.951
La Nd Er
5 1 6
direct
0.000 0.000 0.000
0.167 0.167 0.667
0.334 0.334 0.334
0.666 0.666 0.666
0.833 0.833 0.333
0.500 0.500 0.000
0.084 0.583 0.834
0.250 0.750 0.500
0.417 0.916 0.166
0.583 0.084 0.834
0.750 0.250 0.500
0.916 0.417 0.166
```


Question: Among the records above, which one has the highest volume?
Answer: LaNd12Er2